Computed, not measured: a PBEsol-optimized structure of AlAgP2 at the SCAN level of DFT.

Results
D(E_F) in states/eV/atom: 0.395
Energy relative to the elements in eV/atom: 0.40
VASP energy in eV for the cell shown: -174.93
M_tot in μB per atom: 0.00

abc: 2.8238 2.8238 28.0506
angles: 90.00 90.00 120.00
Space group R3m (No. 160, hexagonal axes)
Inequivalent atoms, fractional coordinates:
Al 0.0000 0.0000 0.0000 [3 per cell]
Ag 0.0000 0.0000 0.2561 [3 per cell]
P 0.0000 0.0000 0.5109 [3 per cell]
P 0.0000 0.0000 0.7377 [3 per cell]


Computed, not measured: a PBEsol-optimized structure of SrEuIn2 at the SCAN level of DFT.

Results
D(E_F) in states/eV/atom: 1.895
Energy relative to the elements in eV/atom: -0.59
VASP energy in eV for the cell shown: -580.49
M_tot in μB per atom: 1.79

abc: 7.850 7.850 7.850
angles: 90.00 90.00 90.00
Space group Fm-3m (No. 225)
Inequivalent atoms, fractional coordinates:
Sr 0.000 0.000 0.000 [4 per cell]
Eu 0.000 0.000 0.500 [4 per cell]
In 0.250 0.250 0.250 [8 per cell]


Computed, not measured: a PBEsol-optimized structure of AgSN2O at the SCAN level of DFT.

Results
D(E_F) in states/eV/atom: 0.363
VASP energy in eV for the cell shown: -55.06
E_form (uncorrected) in kJ/mol of formula units: 1037.1
M_tot in μB per atom: 0.33

abc: 4.010 4.010 3.905
angles: 90.00 90.00 90.00
Space group P4/mmm (No. 123)
Inequivalent atoms, fractional coordinates:
Ag 0.000 0.000 0.000 [1 per cell]
S 0.500 0.500 0.500 [1 per cell]
N 0.000 0.500 0.000 [2 per cell]
O 0.000 0.000 0.500 [1 per cell]


The highest D(E_F) belongs to which entry? SrEuIn2


What is the D(E_F) in the third record? 0.363 states/eV/atom


The lowest D(E_F) belongs to which entry? AgSN2O


Among the records above, which one has the highest D(E_F)? SrEuIn2